(1)
Below is an optimized crystal structure of SmSiTc, with properties calculated at the PBE level.

Properties
As for the density of states at the Fermi level: 0.32 states/eV/atom. The space group is I4mm, No. 107. The calculation puts the relative energy among the computed polymorphs at 0.192 eV per atom. The value obtained for the uncorrected formation energy is -1.1 eV/f.u. Its theoretical density is 8.07 g cm⁻³.

The structure in POSCAR format:
```
SmSiTc
1.0
-1.651 1.651 5.218
1.651 -1.651 5.218
1.651 1.651 -5.218
Sm Si Tc
1 1 1
Direct
0.000 0.000 0.000
0.293 0.293 0.000
0.705 0.705 0.000
```

---

(2)
Below is an optimized crystal structure of K2AlFe, with properties calculated at the PBE level.

Properties
As for the density of states at the Fermi level: 1.09 states/eV/atom. The space group is C2/m, No. 12. The formation energy is 0.4102 eV/atom. Its theoretical density is 2.07 g cm⁻³.

The structure in POSCAR format:
```
K2AlFe
1.0
10.424 -1.755 0.000
10.424 1.755 0.000
-0.616 0.000 3.539
K Al Fe
2 1 1
Direct
0.149 0.149 0.151
0.851 0.851 0.849
0.000 0.000 0.500
0.500 0.500 0.000
```

---

(3)
Below is an optimized crystal structure of BeFeP2, with properties calculated at the PBE level.

Properties
As for the density of states at the Fermi level: 0.45 states/eV/atom. The space group is Cmmm, No. 65. The formation energy is 0.1446 eV/atom. The calculation puts the relative energy among the computed polymorphs at 0.329 eV per atom. Its theoretical density is 4.83 g cm⁻³.

The structure in POSCAR format:
```
BeFeP2
1.0
2.374 -3.214 0.000
2.374 3.214 0.000
0.000 0.000 2.857
Be Fe P
1 1 2
Direct
0.000 0.000 0.000
0.500 0.500 0.000
0.000 0.500 0.500
0.500 0.000 0.500
```

---

(4)
Below is an optimized crystal structure of PmEr2Rh3, with properties calculated at the PBE level.

Properties
As for the density of states at the Fermi level: 0.72 states/eV/atom. The space group is P-3m1, No. 164. The formation energy is -0.8432 eV/atom. Its theoretical density is 10.75 g cm⁻³.

The structure in POSCAR format:
```
PmEr2Rh3
1.0
4.857 0.000 0.000
-2.429 4.207 0.000
0.000 0.000 5.959
Pm Er Rh
1 2 3
Direct
0.000 0.000 0.000
0.333 0.667 0.663
0.667 0.333 0.337
0.000 0.000 0.500
0.333 0.667 0.175
0.667 0.333 0.825
```

---

(5)
Below is an optimized crystal structure of NaSmCdSn, with properties calculated at the PBE level.

Properties
As for the density of states at the Fermi level: 0.38 states/eV/atom. The space group is Pmmm, No. 47. The formation energy is -0.3717 eV/atom. The calculation puts the relative energy among the computed polymorphs at 0.000 eV per atom. Its theoretical density is 6.31 g cm⁻³.

The structure in POSCAR format:
```
NaSmCdSn
1.0
4.310 0.000 0.000
0.000 4.761 0.000
0.000 0.000 5.188
Na Sm Cd Sn
1 1 1 1
Direct
0.000 0.000 0.000
0.000 0.500 0.500
0.500 0.500 0.000
0.500 0.000 0.500
```

---

(6)
Below is an optimized crystal structure of EuCd2Ni, with properties calculated at the PBE level.

Properties
As for the density of states at the Fermi level: 1.26 states/eV/atom. The space group is P4/mmm, No. 123. The formation energy is -0.0650 eV/atom. Its theoretical density is 8.32 g cm⁻³.

The structure in POSCAR format:
```
EuCd2Ni
1.0
3.371 0.000 0.000
0.000 3.371 0.000
0.000 0.000 7.644
Eu Cd Ni
1 2 1
Direct
0.000 0.000 0.000
0.500 0.500 0.311
0.500 0.500 0.689
0.000 0.000 0.500
```

---

What did the second record say?
Below is an optimized crystal structure of K2AlFe, with properties calculated at the PBE level.

Properties
As for the density of states at the Fermi level: 1.09 states/eV/atom. The space group is C2/m, No. 12. The formation energy is 0.4102 eV/atom. Its theoretical density is 2.07 g cm⁻³.

The structure in POSCAR format:
```
K2AlFe
1.0
10.424 -1.755 0.000
10.424 1.755 0.000
-0.616 0.000 3.539
K Al Fe
2 1 1
Direct
0.149 0.149 0.151
0.851 0.851 0.849
0.000 0.000 0.500
0.500 0.500 0.000
```

---

Q: Which value of theoretical density does entry 4 give?
A: 10.75 g cm⁻³